<P>
The following is a DFT calculation (PBE) of NbCr2Pb2 after structural relaxation.

Summary:
DOS at the Fermi energy (states/eV per cell): 7.683

The structure in POSCAR format:
```
NbCr2Pb2
1.0
7.903 0.000 0.000
0.000 7.903 0.000
0.000 0.000 3.069
Pb Cr Nb
4 4 2
direct
0.311 0.811 0.000 Pb
0.811 0.689 0.000 Pb
0.689 0.189 0.000 Pb
0.189 0.311 0.000 Pb
0.094 0.594 0.500 Cr
0.594 0.906 0.500 Cr
0.906 0.406 0.500 Cr
0.406 0.094 0.500 Cr
0.000 0.000 0.000 Nb
0.500 0.500 0.000 Nb
```


<Q>
The following is a DFT calculation (PBE) of NbCr2Pb2 after structural relaxation.

Summary:
DOS at the Fermi energy (states/eV per cell): 5.694

The structure in POSCAR format:
```
NbCr2Pb2
1.0
-2.609 0.866 -1.709
-1.700 -2.378 1.390
-4.665 4.983 6.584
Pb Cr Nb
2 2 1
direct
0.384 0.384 0.231 Pb
0.616 0.616 0.769 Pb
0.750 0.250 0.500 Cr
0.250 0.750 0.500 Cr
0.000 0.000 0.000 Nb
```


Short version: <P> is the least stable of them.


<P>
The following is a DFT calculation (PBE) of ScNbCr2Pb after structural relaxation.

Summary:
DOS at the Fermi energy (states/eV per cell): 7.453

The structure in POSCAR format:
```
ScNbCr2Pb
1.0
-1.194 -3.747 2.183
5.004 -1.777 -0.313
0.950 1.983 3.924
Pb Cr Nb Sc
1 2 1 1
direct
0.000 0.500 0.000 Pb
0.000 0.000 0.500 Cr
0.500 0.000 0.000 Cr
0.500 0.500 0.500 Nb
0.000 0.000 0.000 Sc
```


<Q>
The following is a DFT calculation (PBE) of ScNbCr2Pb after structural relaxation.

Summary:
DOS at the Fermi energy (states/eV per cell): 10.978

The structure in POSCAR format:
```
ScNbCr2Pb
1.0
4.811 0.000 0.000
0.000 5.169 0.000
0.000 0.000 4.811
Pb Cr Nb Sc
1 2 1 1
direct
0.000 0.000 0.000 Pb
0.000 0.000 0.500 Cr
0.500 0.000 0.000 Cr
0.000 0.500 0.000 Nb
0.500 0.500 0.500 Sc
```


Short version: <Q> is the least stable of them.


<P>
The following is a DFT calculation (PBE) of NbCr2Pd after structural relaxation.

Summary:
DOS at the Fermi energy (states/eV per cell): 3.927

The structure in POSCAR format:
```
NbCr2Pd
1.0
0.000 3.081 3.081
3.081 0.000 3.081
3.081 3.081 0.000
Cr Nb Pd
2 1 1
direct
0.250 0.250 0.250 Cr
0.750 0.750 0.750 Cr
0.000 0.000 0.000 Nb
0.500 0.500 0.500 Pd
```


<Q>
The following is a DFT calculation (PBE) of NbCr2Pd after structural relaxation.

Summary:
DOS at the Fermi energy (states/eV per cell): 8.669

The structure in POSCAR format:
```
NbCr2Pd
1.0
6.907 0.000 0.000
0.000 6.907 0.000
3.453 3.453 2.761
Cr Nb Pd
4 2 2
direct
0.633 0.125 0.250 Cr
0.117 0.625 0.250 Cr
0.375 0.367 0.750 Cr
0.875 0.883 0.750 Cr
0.500 0.500 0.000 Nb
0.250 0.750 0.500 Nb
0.000 0.000 0.000 Pd
0.750 0.250 0.500 Pd
```


Short version: <Q> is the least stable of them.


<P>
The following is a DFT calculation (PBE) of NbCr2Pd2 after structural relaxation.

Summary:
DOS at the Fermi energy (states/eV per cell): 10.432

The structure in POSCAR format:
```
NbCr2Pd2
1.0
-5.887 -1.725 4.298
1.783 -7.260 -0.471
1.508 0.230 2.158
Cr Nb Pd
4 2 4
direct
0.172 0.672 0.500 Cr
0.672 0.828 0.500 Cr
0.828 0.328 0.500 Cr
0.328 0.172 0.500 Cr
0.000 0.000 0.000 Nb
0.500 0.500 0.000 Nb
0.374 0.874 0.000 Pd
0.874 0.626 0.000 Pd
0.626 0.126 0.000 Pd
0.126 0.374 0.000 Pd
```


<Q>
The following is a DFT calculation (PBE) of NbCr2Pd2 after structural relaxation.

Summary:
DOS at the Fermi energy (states/eV per cell): 4.598

The structure in POSCAR format:
```
NbCr2Pd2
1.0
-2.202 2.300 -1.042
-1.905 -2.420 -1.319
-5.424 -0.617 4.710
Cr Nb Pd
2 1 2
direct
0.750 0.250 0.500 Cr
0.250 0.750 0.500 Cr
0.000 0.000 0.000 Nb
0.401 0.401 0.198 Pd
0.599 0.599 0.802 Pd
```


<R>
The following is a DFT calculation (PBE) of NbCr2Pd2 after structural relaxation.

Summary:
DOS at the Fermi energy (states/eV per cell): 14.265

The structure in POSCAR format:
```
NbCr2Pd2
1.0
7.360 0.000 0.000
0.000 7.360 0.000
0.000 0.000 2.715
Cr Nb Pd
4 2 4
direct
0.394 0.894 0.000 Cr
0.894 0.606 0.000 Cr
0.606 0.106 0.000 Cr
0.106 0.394 0.000 Cr
0.000 0.000 0.000 Nb
0.500 0.500 0.000 Nb
0.186 0.686 0.500 Pd
0.686 0.814 0.500 Pd
0.814 0.314 0.500 Pd
0.314 0.186 0.500 Pd
```


Short version: <Q> is the least stable of them.


<P>
The following is a DFT calculation (PBE) of NbCrPd after structural relaxation.

Summary:
DOS at the Fermi energy (states/eV per cell): 4.953

The structure in POSCAR format:
```
NbCrPd
1.0
-2.441 -1.092 1.097
1.304 -2.555 0.356
3.865 4.964 9.731
Cr Nb Pd
2 2 2
direct
0.277 0.277 0.555 Cr
0.723 0.723 0.445 Cr
0.142 0.142 0.284 Nb
0.858 0.858 0.716 Nb
0.559 0.559 0.117 Pd
0.441 0.441 0.883 Pd
```


<Q>
The following is a DFT calculation (PBE) of NbCrPd after structural relaxation.

Summary:
DOS at the Fermi energy (states/eV per cell): 3.483

The structure in POSCAR format:
```
NbCrPd
1.0
-2.240 0.603 -1.236
-2.109 0.258 3.949
1.944 3.644 -1.746
Cr Nb Pd
1 1 1
direct
0.500 0.333 0.667 Cr
0.000 0.000 0.000 Nb
0.500 0.667 0.333 Pd
```


Short version: <Q> is the least stable of them.


<P>
The following is a DFT calculation (PBE) of Nb2CrPt after structural relaxation.

Summary:
DOS at the Fermi energy (states/eV per cell): 7.142

The structure in POSCAR format:
```
Nb2CrPt
1.0
-2.710 2.324 2.748
-0.640 4.409 -0.666
-3.977 1.498 -1.495
Cr Nb Pt
1 2 1
direct
0.000 0.000 0.000 Cr
0.250 0.250 0.250 Nb
0.750 0.750 0.750 Nb
0.500 0.500 0.500 Pt
```


<Q>
The following is a DFT calculation (PBE) of Nb2CrPt after structural relaxation.

Summary:
DOS at the Fermi energy (states/eV per cell): 4.178

The structure in POSCAR format:
```
Nb2CrPt
1.0
-2.293 2.032 -1.807
1.232 -1.838 -3.630
-3.007 -2.967 0.481
Cr Nb Pt
1 2 1
direct
0.500 0.500 0.500 Cr
0.000 0.000 0.500 Nb
0.000 0.500 0.000 Nb
0.500 0.000 0.000 Pt
```


<R>
The following is a DFT calculation (PBE) of Nb2CrPt after structural relaxation.

Summary:
DOS at the Fermi energy (states/eV per cell): 3.489

The structure in POSCAR format:
```
Nb2CrPt
1.0
3.135 0.000 0.000
0.000 3.135 0.000
0.000 0.000 6.523
Cr Nb Pt
1 2 1
direct
0.500 0.500 0.000 Cr
0.000 0.000 0.774 Nb
0.000 0.000 0.226 Nb
0.500 0.500 0.500 Pt
```


Short version: <P> is the least stable of them.